# 1
Material: CsLi3Zn4Br12
Method: DFT, PBE
State: optimized geometry

POSCAR file:
```
CsLi3Zn4Br12
1.0
-9.118 0.155 1.165
3.527 -2.968 7.955
2.606 8.779 -0.815
Br Zn Li Cs
12 4 3 1
direct
0.340 0.660 0.500 Br
0.096 0.904 0.500 Br
0.660 0.500 0.340 Br
0.500 0.096 0.904 Br
0.500 0.340 0.660 Br
0.235 0.349 0.941 Br
0.349 0.941 0.235 Br
0.941 0.235 0.349 Br
0.904 0.500 0.096 Br
0.059 0.651 0.765 Br
0.765 0.059 0.651 Br
0.651 0.765 0.059 Br
0.065 0.500 0.935 Zn
0.500 0.935 0.065 Zn
0.935 0.065 0.500 Zn
0.500 0.500 0.500 Zn
0.445 0.000 0.555 Li
0.555 0.445 0.000 Li
0.000 0.555 0.445 Li
0.000 0.000 0.000 Cs
```

Output
For the magnetic moment, the calculation gives 0.00 Bohr magnetons per cell. The total energy is -2.69 eV/atom. The uncorrected formation energy is -1.100 eV per atom. The density of states at the Fermi level comes out at 0.000 states/eV/atom.

# 2
Material: CsLiZrBr6
Method: DFT, PBE
State: optimized geometry

POSCAR file:
```
CsLiZrBr6
1.0
-2.730 5.859 -2.991
-3.052 -2.791 5.798
9.429 9.185 9.384
Br Cs Zr Li
12 2 2 2
direct
0.616 0.628 0.654 Br
0.012 0.384 0.654 Br
0.372 0.988 0.654 Br
0.384 0.372 0.346 Br
0.628 0.616 0.154 Br
0.012 0.628 0.846 Br
0.988 0.372 0.154 Br
0.988 0.616 0.346 Br
0.384 0.012 0.154 Br
0.616 0.988 0.846 Br
0.372 0.384 0.846 Br
0.628 0.012 0.346 Br
0.000 0.000 0.000 Cs
0.000 0.000 0.500 Cs
0.667 0.333 0.250 Zr
0.333 0.667 0.750 Zr
0.333 0.667 0.250 Li
0.667 0.333 0.750 Li
```

Output
For the magnetic moment, the calculation gives 0.00 Bohr magnetons per cell. The total energy is -3.91 eV/atom. The uncorrected formation energy is -1.535 eV per atom. The density of states at the Fermi level comes out at 0.000 states/eV/atom.

# 3
Material: CsLuNb6Br18
Method: DFT, PBE
State: optimized geometry

POSCAR file:
```
CsLuNb6Br18
1.0
-4.114 7.015 5.679
-4.109 -2.371 -8.711
-10.302 -12.796 8.343
Br Nb Lu Cs
36 12 2 2
direct
0.951 0.767 0.160 Br
0.415 0.280 0.499 Br
0.184 0.233 0.660 Br
0.909 0.549 0.837 Br
0.184 0.951 0.840 Br
0.641 0.549 0.663 Br
0.233 0.184 0.160 Br
0.816 0.767 0.340 Br
0.585 0.865 0.999 Br
0.865 0.585 0.499 Br
0.641 0.091 0.837 Br
0.951 0.184 0.340 Br
0.549 0.641 0.163 Br
0.451 0.359 0.837 Br
0.720 0.135 0.499 Br
0.415 0.135 0.001 Br
0.585 0.720 0.501 Br
0.280 0.415 0.999 Br
0.451 0.091 0.663 Br
0.135 0.720 0.999 Br
0.720 0.585 0.001 Br
0.091 0.451 0.163 Br
0.049 0.233 0.840 Br
0.549 0.909 0.337 Br
0.135 0.415 0.501 Br
0.767 0.816 0.840 Br
0.909 0.359 0.663 Br
0.359 0.451 0.337 Br
0.359 0.909 0.163 Br
0.091 0.641 0.337 Br
0.280 0.865 0.501 Br
0.816 0.049 0.160 Br
0.233 0.049 0.340 Br
0.049 0.816 0.660 Br
0.865 0.280 0.001 Br
0.767 0.951 0.660 Br
0.041 0.189 0.065 Nb
0.959 0.811 0.935 Nb
0.148 0.189 0.435 Nb
0.852 0.811 0.565 Nb
0.811 0.852 0.065 Nb
0.148 0.959 0.065 Nb
0.041 0.852 0.435 Nb
0.189 0.148 0.935 Nb
0.811 0.959 0.435 Nb
0.959 0.148 0.565 Nb
0.189 0.041 0.565 Nb
0.852 0.041 0.935 Nb
0.667 0.333 0.750 Lu
0.333 0.667 0.250 Lu
0.333 0.667 0.750 Cs
0.667 0.333 0.250 Cs
```

Output
For the magnetic moment, the calculation gives 0.00 Bohr magnetons per cell. The total energy is -4.81 eV/atom. The uncorrected formation energy is -1.122 eV per atom.

# 4
Material: CsLuTa6Br18
Method: DFT, PBE
State: optimized geometry

POSCAR file:
```
CsLuTa6Br18
1.0
-8.094 -5.643 0.965
9.003 -4.124 0.470
0.287 2.699 18.199
Br Cs Ta Lu
36 2 12 2
direct
0.183 0.232 0.660 Br
0.357 0.449 0.337 Br
0.232 0.049 0.340 Br
0.817 0.049 0.160 Br
0.092 0.643 0.337 Br
0.280 0.866 0.501 Br
0.768 0.951 0.660 Br
0.866 0.586 0.499 Br
0.049 0.232 0.840 Br
0.817 0.768 0.340 Br
0.232 0.183 0.160 Br
0.720 0.586 0.001 Br
0.414 0.280 0.499 Br
0.586 0.866 0.999 Br
0.551 0.643 0.163 Br
0.357 0.908 0.163 Br
0.908 0.357 0.663 Br
0.643 0.092 0.837 Br
0.134 0.720 0.999 Br
0.049 0.817 0.660 Br
0.908 0.551 0.837 Br
0.720 0.134 0.499 Br
0.134 0.414 0.501 Br
0.551 0.908 0.337 Br
0.951 0.183 0.340 Br
0.183 0.951 0.840 Br
0.092 0.449 0.163 Br
0.866 0.280 0.001 Br
0.414 0.134 0.001 Br
0.280 0.414 0.999 Br
0.449 0.092 0.663 Br
0.586 0.720 0.501 Br
0.449 0.357 0.837 Br
0.951 0.768 0.160 Br
0.643 0.551 0.663 Br
0.768 0.817 0.840 Br
0.333 0.667 0.750 Cs
0.667 0.333 0.250 Cs
0.040 0.854 0.436 Ta
0.960 0.146 0.564 Ta
0.186 0.146 0.936 Ta
0.814 0.960 0.436 Ta
0.146 0.186 0.436 Ta
0.146 0.960 0.064 Ta
0.854 0.814 0.564 Ta
0.186 0.040 0.564 Ta
0.854 0.040 0.936 Ta
0.960 0.814 0.936 Ta
0.040 0.186 0.064 Ta
0.814 0.854 0.064 Ta
0.667 0.333 0.750 Lu
0.333 0.667 0.250 Lu
```

Output
For the magnetic moment, the calculation gives 0.00 Bohr magnetons per cell. The total energy is -5.20 eV/atom. The uncorrected formation energy is -1.098 eV per atom.

# 5
Material: Cs3MgBr5
Method: DFT, PBE
State: optimized geometry

POSCAR file:
```
Cs3MgBr5
1.0
9.869 0.000 0.000
0.000 9.869 0.000
-4.934 -4.934 7.910
Br Cs Mg
10 6 2
direct
0.297 0.797 0.308 Br
0.797 0.012 0.308 Br
0.512 0.297 0.308 Br
0.703 0.203 0.692 Br
0.000 0.000 0.000 Br
0.203 0.988 0.692 Br
0.012 0.512 0.308 Br
0.988 0.488 0.692 Br
0.500 0.500 0.000 Br
0.488 0.703 0.692 Br
0.165 0.335 0.000 Cs
0.250 0.250 0.500 Cs
0.750 0.750 0.500 Cs
0.835 0.665 0.000 Cs
0.335 0.835 0.000 Cs
0.665 0.165 0.000 Cs
0.250 0.750 0.500 Mg
0.750 0.250 0.500 Mg
```

Output
For the magnetic moment, the calculation gives 0.22 Bohr magnetons per cell. The total energy is -3.10 eV/atom. The uncorrected formation energy is -1.712 eV per atom. The density of states at the Fermi level comes out at 0.000 states/eV/atom.

# 6
Material: CsMg3Br
Method: DFT, PBE
State: optimized geometry

POSCAR file:
```
CsMg3Br
1.0
-0.234 6.126 1.018
-5.531 -0.669 2.753
2.823 -0.802 5.477
Mg Br Cs
3 1 1
direct
0.000 0.000 0.500 Mg
0.500 0.000 0.000 Mg
0.000 0.500 0.000 Mg
0.000 0.000 0.000 Br
0.500 0.500 0.500 Cs
```

Output
For the magnetic moment, the calculation gives 0.00 Bohr magnetons per cell. The total energy is -1.22 eV/atom. The uncorrected formation energy is 0.245 eV per atom. The density of states at the Fermi level comes out at 0.181 states/eV/atom. The relative energy among the computed polymorphs comes out at 0.0 meV/atom.

# 7
Material: Cs4MgBr6
Method: DFT, PBE
State: optimized geometry

POSCAR file:
```
Cs4MgBr6
1.0
9.789 0.071 -0.154
0.153 9.788 -0.154
-0.072 -0.071 9.790
Cs Mg Br
8 2 12
direct
0.750 0.381 0.881 Cs
0.381 0.119 0.250 Cs
0.619 0.881 0.750 Cs
0.881 0.250 0.381 Cs
0.250 0.619 0.119 Cs
0.250 0.250 0.750 Cs
0.750 0.750 0.250 Cs
0.119 0.750 0.619 Cs
0.500 0.500 0.500 Mg
0.000 0.000 0.000 Mg
0.070 0.267 0.061 Br
0.233 0.430 0.439 Br
0.767 0.570 0.561 Br
0.439 0.767 0.430 Br
0.267 0.939 0.930 Br
0.570 0.439 0.233 Br
0.930 0.733 0.939 Br
0.733 0.061 0.070 Br
0.939 0.070 0.733 Br
0.430 0.561 0.767 Br
0.061 0.930 0.267 Br
0.561 0.233 0.570 Br
```

Output
For the magnetic moment, the calculation gives 0.00 Bohr magnetons per cell. The total energy is -3.08 eV/atom. The uncorrected formation energy is -1.713 eV per atom. The density of states at the Fermi level comes out at 0.000 states/eV/atom.

# 8
Material: Cs3Mg2Br8
Method: DFT, PBE
State: optimized geometry

POSCAR file:
```
Cs3Mg2Br8
1.0
-0.090 -5.135 -5.884
6.711 -2.383 -3.206
2.681 -10.236 3.708
Br Mg Cs
8 2 3
direct
0.264 0.264 0.691 Br
0.736 0.220 0.309 Br
0.736 0.736 0.309 Br
0.324 0.324 0.027 Br
0.264 0.780 0.691 Br
0.780 0.264 0.691 Br
0.220 0.736 0.309 Br
0.676 0.676 0.973 Br
0.405 0.405 0.784 Mg
0.595 0.595 0.216 Mg
0.794 0.794 0.619 Cs
0.000 0.000 0.000 Cs
0.206 0.206 0.381 Cs
```

Output
For the magnetic moment, the calculation gives 1.01 Bohr magnetons per cell. The total energy is -2.93 eV/atom. The uncorrected formation energy is -1.460 eV per atom. The density of states at the Fermi level comes out at 1.921 states/eV/atom.